No. 1
Below is Ce2PuMgN4 after structural relaxation, with properties calculated at the PBE level.

Computed properties:
The calculation puts the formation energy from raw total energies at -1.1895 eV per atom. As for the volume: 118.5 Å³/cell.

a = 5.958 Å, b = 3.533 Å, c = 5.960 Å
α = 90.00°, β = 109.13°, γ = 90.00°
Atoms (fractional coordinates):
Ce: 0.000 0.000 0.000
Ce: 0.000 0.500 0.500
Pu: 0.500 0.000 0.500
Mg: 0.500 0.500 0.000
N: 0.251 0.000 0.744
N: 0.261 0.500 0.255
N: 0.739 0.500 0.745
N: 0.749 0.000 0.256

***

No. 2
Below is Na3HgW after structural relaxation, with properties calculated at the PBE level.

Computed properties:
As for the formation energy: 1.374 eV per atom. As for the volume: 223.2 Å³/cell. The value obtained for the energy above the lowest structure with this stoichiometry is 50 meV/atom.

a = 6.066 Å, b = 6.066 Å, c = 6.066 Å
α = 90.00°, β = 90.00°, γ = 90.00°
Atoms (fractional coordinates):
Na: 0.000 0.000 0.500
Na: 0.000 0.500 0.000
Na: 0.500 0.000 0.000
Hg: 0.500 0.500 0.500
W: 0.000 0.000 0.000

***

No. 3
Below is NaIn2PbF6 after structural relaxation, with properties calculated at the PBE level.

Computed properties:
The calculation puts the formation energy from raw total energies at -2.1637 eV per atom. As for the volume: 178.0 Å³/cell.

a = 6.062 Å, b = 6.120 Å, c = 6.305 Å
α = 61.39°, β = 89.70°, γ = 63.87°
Atoms (fractional coordinates):
Na: 0.000 0.000 0.000
In: 0.313 0.430 0.703
In: 0.786 0.464 0.234
Pb: 0.520 0.949 0.498
F: 0.105 0.006 0.351
F: 0.194 0.484 0.332
F: 0.323 0.023 0.815
F: 0.583 0.214 0.079
F: 0.701 0.158 0.650
F: 0.949 0.506 0.806

***

No. 4
Below is Mg2VPb after structural relaxation, with properties calculated at the PBE level.

Computed properties:
As for the formation energy: 0.558 eV per atom. As for the volume: 190.5 Å³/cell.

a = 6.436 Å, b = 6.436 Å, c = 6.436 Å
α = 101.47°, β = 101.47°, γ = 127.04°
Atoms (fractional coordinates):
Mg: 0.108 0.625 0.983
Mg: 0.375 0.358 0.483
Mg: 0.642 0.125 0.017
Mg: 0.875 0.892 0.517
V: 0.000 0.000 0.000
V: 0.750 0.250 0.500
Pb: 0.250 0.750 0.500
Pb: 0.500 0.500 0.000

***

No. 5
Below is AcZn2SiPt after structural relaxation, with properties calculated at the PBE level.

Computed properties:
The calculation puts the formation energy from raw total energies at -0.6306 eV per atom. As for the volume: 100.7 Å³/cell.

a = 6.009 Å, b = 6.009 Å, c = 6.009 Å
α = 136.78°, β = 136.64°, γ = 62.88°
Atoms (fractional coordinates):
Ac: 0.000 0.000 0.000
Zn: 0.620 0.620 0.000
Zn: 0.750 0.250 0.500
Si: 0.372 0.372 0.000
Pt: 0.263 0.763 0.500

***

No. 6
Below is Na2Tl2Sb after structural relaxation, with properties calculated at the PBE level.

Computed properties:
The calculation puts the formation energy from raw total energies at -0.1767 eV per atom. As for the volume: 290.7 Å³/cell. The value obtained for the energy above the lowest structure with this stoichiometry is 0 meV/atom.

a = 5.974 Å, b = 5.974 Å, c = 11.454 Å
α = 90.79°, β = 90.79°, γ = 45.33°
Atoms (fractional coordinates):
Na: 0.067 0.067 0.345
Na: 0.157 0.157 0.055
Na: 0.843 0.843 0.945
Na: 0.933 0.933 0.655
Tl: 0.350 0.350 0.441
Tl: 0.457 0.457 0.150
Tl: 0.543 0.543 0.850
Tl: 0.650 0.650 0.559
Sb: 0.225 0.225 0.766
Sb: 0.775 0.775 0.234

***

no.,E (eV/atom)
1,-8.826
2,-2.069
3,-4.337
4,-3.446
5,-4.255
6,-2.475